Entry from Alexandria via LeMat-Bulk: a PBEsol-optimized structure of SbTe2AsSe (meta-GGA SCAN).

Cell: 5.231 5.231 5.421 Å, 90.00 90.00 90.00°
Atoms (fractional coordinates):
Sb (0.000, 0.000, 0.000)
Te (0.000, 0.500, 0.500)
Te (0.500, 0.000, 0.500)
As (0.000, 0.000, 0.500)
Se (0.500, 0.500, 0.000)

Properties
- magnetization (μB per atom) = 0.001
- offset from the most stable computed form (meV/atom) = 0
- crystal system = tetragonal
- space-group type = No. 123
- E_form (uncorrected) (eV per atom) = 0.754
- total DFT energy (no corrections) (Ry per atom) = -2.179